Material: HgRu2
Method: DFT, PBE
State: optimized geometry

The calculation puts the total energy at -135.421 eV for the cell shown. Its excess energy over the best structure of this formula in the dataset is 330 meV/atom. The energy of formation from the pure elements comes out at 642 meV per atom.

The space group is I4_1/amd (No. 141, origin choice 2) and the conventional cell measures 3.991, 3.991 and 24.485 Å, with angles of 90.00, 90.00 and 90.00 degrees. The distinct sites, in fractional coordinates, are Hg at (0.000, 0.250, 0.293), Ru at (0.000, 0.250, 0.126) and Ru at (0.000, 0.250, 0.800).